Entry 1:
Here is a geometry-optimized KPN2F structure from Alexandria. Energies are from PBE.

Cell: 5.4596 5.4596 4.6726 Å, 90.00 90.00 90.00°
Element x y z (fractional)
1 K 0.0000 0.0000 0.0000
2 P 0.5000 0.5000 0.5000
3 N 0.0000 0.5000 0.0000
4 N 0.5000 0.0000 0.0000
5 F 0.0000 0.0000 0.5000

Output
The total energy is -16.063 eV per cell.


Entry 2:
Here is a geometry-optimized KSr2Ca structure from Alexandria. Energies are from PBE.

Cell: 6.7517 6.7517 6.7517 Å, 60.00 60.00 60.00°
Element x y z (fractional)
1 K 0.0000 0.0000 0.0000
2 Sr 0.2500 0.2500 0.2500
3 Sr 0.5000 0.5000 0.5000
4 Ca 0.7500 0.7500 0.7500

Output
As for the formation energy: 0.135 eV/atom.


Entry 3:
Here is a geometry-optimized Sn2BiTe structure from Alexandria. Energies are from PBE.

Cell: 7.7274 7.7274 7.7274 Å, 33.98 33.98 33.98°
Element x y z (fractional)
1 Sn 0.2487 0.2487 0.2487
2 Sn 0.7513 0.7513 0.7513
3 Bi 0.5000 0.5000 0.5000
4 Te 0.0000 0.0000 0.0000

Output
The total energy is -15.261 eV per cell.